{
  "formula": "KLi2YTl",
  "functional": "PBE",
  "state": "optimized geometry",
  "space_group": "P4/mmm, No. 123",
  "formation_energy_ev_per_atom": 0.809,
  "energy_ev_per_cell": -9.7,
  "m_tot_mub_per_cell": 0.00,
  "lattice_angstrom": [[5.005, 0.000, 0.000], [0.000, 5.005, 0.000], [0.000, 0.000, 6.389]],
  "species": ["K", "Li", "Li", "Y", "Tl"],
  "frac_coords": [[0.000, 0.000, 0.000], [0.000, 0.500, 0.000], [0.500, 0.000, 0.000], [0.000, 0.000, 0.500], [0.500, 0.500, 0.500]]
}